# GGA-PBE Zr3AlPd12, optimized geometry
# DOS(E_F) = 0.9 states/eV/f.u.
# VASP energy = -6.510 eV per atom
data_Zr3AlPd12
_cell_length_a 4.011
_cell_length_b 4.011
_cell_length_c 15.964
_cell_angle_alpha 90.00
_cell_angle_beta 90.00
_cell_angle_gamma 90.00
_space_group_name_H-M_alt 'P 4/m m m'
_space_group_IT_number 123
_space_group_name_Hall '-P 4 2'
loop_
_atom_site_label
_atom_site_type_symbol
_atom_site_fract_x
_atom_site_fract_y
_atom_site_fract_z
Zr1 Zr 0.000 0.000 0.000
Zr2 Zr 0.000 0.000 0.257
Al1 Al 0.000 0.000 0.500
Pd1 Pd 0.000 0.500 0.126
Pd2 Pd 0.000 0.500 0.380
Pd3 Pd 0.500 0.500 0.000
Pd4 Pd 0.500 0.500 0.253
Pd5 Pd 0.500 0.500 0.500